DFT (PBE) results for BeSb3Ir after structural relaxation.

* calculated density: 8.81 g/cm³
* formation energy without anion corrections: 0.847 eV per atom

Lattice parameters (Å, degrees): 4.7438 4.7438 4.7438 90.00 90.00 90.00
Closest atoms and distances in Å follow each position.
Space group Pm-3m (No. 221)
Asymmetric unit:
Be 0.0000 0.0000 0.0000  6 Sb 2.37
Sb 0.0000 0.0000 0.5000  2 Be 2.37
Ir 0.5000 0.5000 0.5000  12 Sb 3.35